Entry 1:
VASP calculation (PBE-GGA) on a relaxed structure of KCaAs2.

Lattice parameters (Å, degrees): 3.998 4.098 14.567 90.00 90.00 90.00
Space group Amm2 (No. 38)
One atom of each set of equivalent atoms:
K  0.000  0.000  0.000 [2 per cell]
Ca  0.000  0.000  0.757 [2 per cell]
As  0.500  0.000  0.184 [2 per cell]
As  0.500  0.000  0.351 [2 per cell]

Results
total moment = 0.000 μB/atom
density of states at the Fermi level = 0.4965 states/eV per atom
VASP energy = -0.2797 Ry/atom


Entry 2:
VASP calculation (PBE-GGA) on a relaxed structure of MgCoW2.

Lattice parameters (Å, degrees): 3.108 4.277 4.523 90.00 90.00 90.00
Space group Pmmm (No. 47)
One atom of each set of equivalent atoms:
Mg  0.000  0.000  0.000 [1 per cell]
Co  0.500  0.500  0.000 [1 per cell]
W  0.000  0.500  0.500 [1 per cell]
W  0.500  0.000  0.500 [1 per cell]

Results
total moment = 0.087 μB/atom
density of states at the Fermi level = 0.9670 states/eV per atom
VASP energy = -0.6087 Ry/atom


Entry 3:
VASP calculation (PBE-GGA) on a relaxed structure of PrHo2Tl.

Lattice parameters (Å, degrees): 4.759 4.862 11.190 90.00 102.25 90.00
Space group P2_1/m (No. 11)
One atom of each set of equivalent atoms:
Pr  0.193  0.250  0.385 [2 per cell]
Ho  0.057  0.750  0.113 [2 per cell]
Ho  0.437  0.750  0.874 [2 per cell]
Tl  0.339  0.250  0.678 [2 per cell]

Results
total moment = 0.000 μB/atom
density of states at the Fermi level = 1.0965 states/eV per atom
VASP energy = -0.3117 Ry/atom


Entry 4:
VASP calculation (PBE-GGA) on a relaxed structure of HfZrTe.

Lattice parameters (Å, degrees): 3.732 3.732 9.632 90.00 90.00 90.00
Space group I4mm (No. 107)
One atom of each set of equivalent atoms:
Hf  0.000  0.000  0.000 [2 per cell]
Zr  0.000  0.000  0.331 [2 per cell]
Te  0.000  0.000  0.665 [2 per cell]

Results
total moment = 0.000 μB/atom
formation energy without anion corrections = -0.385 eV/atom
density of states at the Fermi level = 0.7739 states/eV per atom